Material: Al2SBr
Method: DFT, PBE
State: optimized geometry

Results
spin magnetization = 0.00 μB/f.u.
energy relative to the elements, uncorrected = -13.38 kJ per mole of atoms
calculated total energy = -3.46 eV/atom

a b c (Å): 7.185 7.185 6.175
angles (deg): 54.42 54.42 90.00
Sites, in units of the cell vectors:
Al 0.375 0.417 0.750
S 0.250 0.750 0.500
Al 0.875 0.833 0.750
Br 0.750 0.250 0.500
Al 0.583 0.125 0.250
Br 0.000 0.000 0.000
Al 0.167 0.625 0.250
S 0.500 0.500 0.000